# 1
LiTaO3 PBE relaxed; energy relative to the elements, uncorrected = -261.3 kJ/mol of atoms; calculated volume = 10.91 A^3/atom; E_tot = -8.436 eV per atom; N(E_F) = 0.0000 states/eV per atom
1.0
5.5344 0.0013 0.0009
3.0843 4.5953 0.0009
3.0843 1.6450 4.2908
Li O Ta
2 6 2
Direct
0.7824 0.7824 0.7824 Li
0.2824 0.2824 0.2824 Li
0.2259 0.6198 0.8607 O
0.6198 0.8607 0.2259 O
0.7259 0.3607 0.1198 O
0.1198 0.7259 0.3607 O
0.8607 0.2259 0.6198 O
0.3607 0.1198 0.7259 O
0.4994 0.4994 0.4994 Ta
0.9994 0.9994 0.9994 Ta

***

# 2
YAl3Ir2 PBE relaxed; calculated volume = 17.52 A^3/atom; E_tot = -6.390 eV per atom; N(E_F) = 0.5809 states/eV per atom; formation enthalpy at 0 K = -488.0 meV/atom
1.0
-0.3367 5.8449 0.1531
-4.1022 2.6124 3.2631
2.9700 2.9313 6.6429
Ir Y Al
4 2 6
Direct
0.5000 0.5000 0.0000 Ir
0.0000 0.5000 0.0000 Ir
0.0000 0.0000 0.0000 Ir
0.5000 0.0000 0.0000 Ir
0.2119 0.2119 0.3643 Y
0.7881 0.7881 0.6357 Y
0.2615 0.7538 0.7232 Al
0.2615 0.2615 0.7232 Al
0.7385 0.7385 0.2768 Al
0.7538 0.2615 0.7232 Al
0.2462 0.7385 0.2768 Al
0.7385 0.2462 0.2768 Al

***

# 3
CeScPt PBE relaxed; calculated volume = 23.89 A^3/atom; E_tot = -6.906 eV per atom; N(E_F) = 2.7781 states/eV per atom; E above lowest polymorph = 0 kJ/mol of formula units; formation enthalpy at 0 K = -804.1 meV/atom
1.0
4.5194 0.0000 0.0000
0.0000 4.5194 0.0000
0.0000 0.0000 7.0192
Pt Ce Sc
2 2 2
Direct
0.0000 0.5000 0.2737 Pt
0.5000 0.0000 0.7263 Pt
0.5000 0.0000 0.1253 Ce
0.0000 0.5000 0.8747 Ce
0.5000 0.5000 0.5000 Sc
0.0000 0.0000 0.5000 Sc

***

# 4
PuNi6 PBE relaxed; calculated volume = 13.11 A^3/atom; E_tot = -7.090 eV per atom; N(E_F) = 2.7113 states/eV per atom; E above lowest polymorph = 0 kJ/mol of formula units; formation enthalpy at 0 K = -87.0 meV/atom
1.0
-4.3408 -2.1321 -0.2488
3.3948 -6.9581 0.3999
-0.6731 0.2322 9.7533
Ni Pu
24 4
Direct
0.2500 0.3157 0.7414 Ni
0.7500 0.6843 0.2586 Ni
0.7500 0.3518 0.6488 Ni
0.2500 0.0618 0.9079 Ni
0.7500 0.1843 0.2414 Ni
0.7500 0.1061 0.4805 Ni
0.2500 0.3939 0.9805 Ni
0.0066 0.4348 0.1909 Ni
0.2500 0.6482 0.3512 Ni
0.7500 0.8518 0.8512 Ni
0.7500 0.4382 0.4079 Ni
0.7500 0.6061 0.0195 Ni
0.9934 0.0652 0.6909 Ni
0.2500 0.1482 0.1488 Ni
0.0066 0.9348 0.3091 Ni
0.5066 0.0652 0.6909 Ni
0.2500 0.5618 0.5921 Ni
0.2500 0.8939 0.5195 Ni
0.4934 0.4348 0.1909 Ni
0.2500 0.8157 0.7586 Ni
0.9934 0.5652 0.8091 Ni
0.7500 0.9382 0.0921 Ni
0.4934 0.9348 0.3091 Ni
0.5066 0.5652 0.8091 Ni
0.2500 0.2609 0.4387 Pu
0.2500 0.7609 0.0613 Pu
0.7500 0.7391 0.5613 Pu
0.7500 0.2391 0.9387 Pu